Below is an optimized crystal structure of K4CrBr6, with properties calculated at the PBE-GGA level.

Output
- raw formation energy (eV per atom) = -1.417
- DOS(E_F) (states/eV/atom) = 0.341

a b c (Å): 9.0206 9.0206 9.1812
angles (deg): 90.00 90.00 90.00
Each line ends with the local moment (μB).
Atoms (fractional coordinates):
K  0.3308  0.1692  0.2500  0.00
K  0.1692  0.6692  0.7500  0.00
K  0.6692  0.8308  0.7500  0.00
K  0.8308  0.3308  0.7500  0.00
K  0.3308  0.1692  0.7500  0.00
K  0.1692  0.6692  0.2500  0.00
K  0.8308  0.3308  0.2500  0.00
K  0.6692  0.8308  0.2500  0.00
Cr  0.5000  0.5000  0.0000  3.65
Cr  0.0000  0.0000  0.5000  3.65
Br  0.2975  0.9036  0.5000  0.00
Br  0.7975  0.5964  0.0000  0.00
Br  0.5964  0.2025  0.0000  0.00
Br  0.0964  0.2975  0.5000  0.00
Br  0.0000  0.0000  0.2223  -0.02
Br  0.5000  0.5000  0.2777  -0.02
Br  0.4036  0.7975  0.0000  0.00
Br  0.0000  0.0000  0.7777  -0.02
Br  0.2025  0.4036  0.0000  0.00
Br  0.5000  0.5000  0.7223  -0.02
Br  0.9036  0.7025  0.5000  0.00
Br  0.7025  0.0964  0.5000  0.00



Below is an optimized crystal structure of KCr2Br, with properties calculated at the PBE-GGA level.

Output
- raw formation energy (eV per atom) = 0.185
- DOS(E_F) (states/eV/atom) = 0.285
- ΔE to the lowest computed polymorph (meV per atom) = 24.4

a b c (Å): 3.5463 3.5422 7.6696
angles (deg): 90.00 90.00 90.00
Each line ends with the local moment (μB).
Atoms (fractional coordinates):
Br  0.5000  0.5000  0.7874  0.01
Cr  0.0000  0.0000  0.0492  3.55
Cr  0.5000  0.5000  0.1535  -3.42
K  0.0000  0.0000  0.5099  -0.02



Below is an optimized crystal structure of K2CrBr, with properties calculated at the PBE-GGA level.

Output
- raw formation energy (eV per atom) = 0.031
- DOS(E_F) (states/eV/atom) = 0.336
- ΔE to the lowest computed polymorph (meV per atom) = 211.5

a b c (Å): 10.3777 10.3777 10.3777
angles (deg): 25.17 25.17 25.17
Each line ends with the local moment (μB).
Atoms (fractional coordinates):
Br  0.4848  0.4848  0.4848  0.05
Cr  0.7737  0.7737  0.7737  4.37
K  0.0224  0.0224  0.0224  0.04
K  0.2191  0.2191  0.2191  0.01



Below is an optimized crystal structure of K2CrBr, with properties calculated at the PBE-GGA level.

Output
- raw formation energy (eV per atom) = -0.031
- DOS(E_F) (states/eV/atom) = 0.000
- ΔE to the lowest computed polymorph (meV per atom) = 149.8

a b c (Å): 5.9943 5.9943 5.9943
angles (deg): 60.00 60.00 60.00
Each line ends with the local moment (μB).
Atoms (fractional coordinates):
Cr  0.0000  0.0000  0.0000  4.26
K  0.2500  0.2500  0.2500  0.01
K  0.7500  0.7500  0.7500  0.01
Br  0.5000  0.5000  0.5000  0.01



Below is an optimized crystal structure of KCrBr2, with properties calculated at the PBE-GGA level.

Output
- raw formation energy (eV per atom) = -0.678
- DOS(E_F) (states/eV/atom) = 0.343
- ΔE to the lowest computed polymorph (meV per atom) = 94.3

a b c (Å): 7.8772 7.8772 7.8772
angles (deg): 151.53 149.82 41.96
Each line ends with the local moment (μB).
Atoms (fractional coordinates):
Br  0.9752  0.9752  0.0000  0.01
Br  0.6865  0.1865  0.5000  0.01
Cr  0.5416  0.5416  0.0000  4.26
K  0.2968  0.7968  0.5000  0.01



Below is an optimized crystal structure of KCrBr2, with properties calculated at the PBE-GGA level.

Output
- raw formation energy (eV per atom) = -0.580
- DOS(E_F) (states/eV/atom) = 0.282
- ΔE to the lowest computed polymorph (meV per atom) = 192.4

a b c (Å): 5.0123 5.8314 3.7597
angles (deg): 90.00 90.00 90.00
Each line ends with the local moment (μB).
Atoms (fractional coordinates):
Br  0.0000  0.0000  0.0000  -0.02
Br  0.5000  0.5000  0.0000  0.01
Cr  0.5000  0.0000  0.5000  4.31
K  0.0000  0.5000  0.5000  0.01